Density functional theory data (GGA-PBE) for a relaxed structure of YScGa5Cu2.

Structure (POSCAR):
```
YScGa5Cu2
1.0
4.114 0.000 0.000
0.000 4.114 0.000
0.000 0.000 9.555
Y Sc Ga Cu
1 1 5 2
direct
0.000 0.000 0.000
0.000 0.000 0.500
0.000 0.500 0.241
0.000 0.500 0.759
0.500 0.000 0.241
0.500 0.000 0.759
0.500 0.500 0.000
0.500 0.500 0.381
0.500 0.500 0.619
```

N(E_F): 0.37 states/eV/atom
calculated formation energy: -0.3337 eV per atom
total magnetization: 0.000 μB/atom
raw total energy: -4.35 eV/atom
mass density: 6.26 g cm⁻³
space group: P4/mmm, No. 123